Entry 1:
This record from Alexandria via LeMat-Bulk describes a relaxed structure of CaMn3Si. The functional is PBE.

extended XYZ file:
```
5
Lattice="-2.6037 2.8872 2.4286 -3.4471 -0.6212 -2.9572 -1.5335 -3.5059 2.5240" Properties=species:S:1:pos:R:3 pbc="T T T"
Mn -1.3018 1.4436 1.2143
Si 0.0000 0.0000 0.0000
Mn -1.7236 -0.3106 -1.4786
Mn -0.7667 -1.7530 1.2620
Ca -3.7921 -0.6199 0.9977
```

**E_form (uncorrected)**: 0.3814 eV per atom
**Energy relative to the lowest polymorph listed for this composition**: 0 meV per atom

=====

Entry 2:
This record from Alexandria via LeMat-Bulk describes a relaxed structure of Th2ZrSi4Pt3. The functional is PBE.

extended XYZ file:
```
10
Lattice="4.2889 0.0000 0.0000 0.0000 4.2889 0.0000 0.0000 0.0000 10.3551" Properties=species:S:1:pos:R:3 pbc="T T T"
Th 0.0000 2.1444 7.9011
Si 2.1444 0.0000 6.7529
Si 0.0000 0.0000 0.0000
Pt 0.0000 2.1444 1.1502
Zr 2.1444 2.1444 5.1776
Th 2.1444 0.0000 2.4541
Si 2.1444 2.1444 0.0000
Si 0.0000 2.1444 3.6022
Pt 2.1444 0.0000 9.2050
Pt 0.0000 0.0000 5.1776
```

**E_form (uncorrected)**: -1.0257 eV per atom

=====

Entry 3:
This record from Alexandria via LeMat-Bulk describes a relaxed structure of ZrMn2Bi2. The functional is PBE.

extended XYZ file:
```
10
Lattice="-0.5220 7.6725 -1.3318 -7.7174 -0.3313 1.1160 0.4220 0.5643 3.0855" Properties=species:S:1:pos:R:3 pbc="T T T"
Mn -1.0310 3.0272 1.2106
Zr -4.1197 3.6706 -0.1079
Mn -3.0464 6.7881 0.7984
Mn -4.7710 1.1174 2.0714
Bi -2.7442 1.0741 0.1789
Bi -6.7022 2.3678 0.4835
Bi -5.4952 6.2671 -0.3946
Bi -1.5372 4.9733 -0.6993
Mn -6.7864 4.8783 1.6591
Zr 0.0000 0.0000 0.0000
```

**Energy relative to the lowest polymorph listed for this composition**: 345 meV per atom

=====

Entry 4:
This record from Alexandria via LeMat-Bulk describes a relaxed structure of La2YAg. The functional is PBE.

extended XYZ file:
```
4
Lattice="1.9624 -4.1804 -3.1486 -1.1561 -5.2983 1.3531 -3.4994 -2.9935 -3.1675" Properties=species:S:1:pos:R:3 pbc="T T T"
La -2.0198 -9.3541 -3.7222
La -0.6733 -3.1180 -1.2407
Ag -1.3465 -6.2361 -2.4815
Y 0.0000 0.0000 0.0000
```

**Energy relative to the lowest polymorph listed for this composition**: 192 meV per atom

=====

no.,total DFT energy (no corrections) (eV per cell)
1,-33.03
2,-73.46
3,-62.98
4,-18.91